(1)
Below is crystalline ErSc6Ga3 at its relaxed geometry, with properties calculated at the PBE-GGA level.

Values from the calculation:
DFT formation energy = -0.33 eV per atom
total magnetization = 0.000 μB/cell

Cell lengths 9.811, 12.010, 7.827 Å; angles 90.00, 90.00, 90.00 degrees
Space group Cmc2_1 (No. 36)
Symmetry-distinct sites (fractional):
Er 0.000 0.176 0.000 (multiplicity 4)
Sc 0.000 0.274 0.530 (multiplicity 4)
Sc 0.000 0.467 0.845 (multiplicity 4)
Sc 0.166 0.075 0.365 (multiplicity 8)
Sc 0.226 0.329 0.226 (multiplicity 8)
Ga 0.000 0.067 0.667 (multiplicity 4)
Ga 0.200 0.424 0.562 (multiplicity 8)



(2)
Below is crystalline ErSc2Ga at its relaxed geometry, with properties calculated at the PBE-GGA level.

Values from the calculation:
DFT formation energy = -0.19 eV per atom
total magnetization = 1.865 μB/cell
polymorph energy (0 for the lowest one) = 0.49 eV per formula unit

Cell lengths 3.3963, 3.3963, 29.0967 Å; angles 90.00, 90.00, 120.00 degrees
Space group R3m (No. 160, hexagonal axes)
Symmetry-distinct sites (fractional):
Er 0.0000 0.0000 0.0000 (multiplicity 3)
Sc 0.0000 0.0000 0.2388 (multiplicity 3)
Sc 0.0000 0.0000 0.4292 (multiplicity 3)
Ga 0.0000 0.0000 0.8342 (multiplicity 3)



(3)
Below is crystalline ErScGa at its relaxed geometry, with properties calculated at the PBE-GGA level.

Values from the calculation:
DFT formation energy = -0.38 eV per atom
total magnetization = 0.000 μB/cell
polymorph energy (0 for the lowest one) = 0.20 eV per formula unit

Cell lengths 3.316, 3.316, 12.595 Å; angles 90.00, 90.00, 90.00 degrees
Space group I4mm (No. 107)
Symmetry-distinct sites (fractional):
Er 0.000 0.000 0.000 (multiplicity 2)
Sc 0.000 0.000 0.702 (multiplicity 2)
Ga 0.000 0.000 0.341 (multiplicity 2)



(4)
Below is crystalline Er3Sc4Ga4 at its relaxed geometry, with properties calculated at the PBE-GGA level.

Values from the calculation:
DFT formation energy = -0.42 eV per atom
total magnetization = 0.004 μB/cell

Cell lengths 4.698, 6.932, 15.421 Å; angles 90.00, 90.00, 90.00 degrees
Space group Immm (No. 71)
Symmetry-distinct sites (fractional):
Er 0.000 0.000 0.000 (multiplicity 2)
Er 0.000 0.500 0.109 (multiplicity 4)
Sc 0.000 0.285 0.324 (multiplicity 8)
Ga 0.000 0.000 0.193 (multiplicity 4)
Ga 0.000 0.194 0.500 (multiplicity 4)



(5)
Below is crystalline Er3ScGa4 at its relaxed geometry, with properties calculated at the PBE-GGA level.

Values from the calculation:
DFT formation energy = -0.57 eV per atom
total magnetization = 0.000 μB/cell

Cell lengths 4.9368, 4.9368, 24.3012 Å; angles 90.00, 90.00, 120.00 degrees
Space group R-3m (No. 166, hexagonal axes)
Symmetry-distinct sites (fractional):
Er 0.0000 0.0000 0.0000 (multiplicity 3)
Er 0.0000 0.0000 0.2486 (multiplicity 6)
Sc 0.0000 0.0000 0.5000 (multiplicity 3)
Ga 0.0000 0.0000 0.1264 (multiplicity 6)
Ga 0.0000 0.0000 0.3764 (multiplicity 6)



(6)
Below is crystalline ErSc3Ga3 at its relaxed geometry, with properties calculated at the PBE-GGA level.

Values from the calculation:
DFT formation energy = -0.48 eV per atom
total magnetization = 0.001 μB/cell

Cell lengths 8.6218, 8.6218, 4.5706 Å; angles 90.00, 90.00, 120.00 degrees
Space group P6_3/m (No. 176)
Symmetry-distinct sites (fractional):
Er 0.3333 0.6667 0.2500 (multiplicity 2)
Sc 0.0111 0.2433 0.7500 (multiplicity 6)
Ga 0.0634 0.6143 0.7500 (multiplicity 6)



(7)
Below is crystalline Er2ScGa2 at its relaxed geometry, with properties calculated at the PBE-GGA level.

Values from the calculation:
DFT formation energy = -0.55 eV per atom
total magnetization = 0.004 μB/cell
polymorph energy (0 for the lowest one) = 0.00 eV per formula unit

Cell lengths 7.443, 7.443, 4.214 Å; angles 90.00, 90.00, 90.00 degrees
Space group P4/mbm (No. 127)
Symmetry-distinct sites (fractional):
Er 0.175 0.325 0.000 (multiplicity 4)
Sc 0.000 0.000 0.500 (multiplicity 2)
Ga 0.124 0.624 0.500 (multiplicity 4)



(8)
Below is crystalline ErSc2Ga9 at its relaxed geometry, with properties calculated at the PBE-GGA level.

Values from the calculation:
DFT formation energy = -0.51 eV per atom
total magnetization = 0.000 μB/cell

Cell lengths 4.160, 4.160, 12.475 Å; angles 90.00, 90.00, 90.00 degrees
Space group P4/mmm (No. 123)
Symmetry-distinct sites (fractional):
Er 0.000 0.000 0.000 (multiplicity 1)
Sc 0.000 0.000 0.337 (multiplicity 2)
Ga 0.000 0.500 0.173 (multiplicity 4)
Ga 0.000 0.500 0.500 (multiplicity 2)
Ga 0.500 0.500 0.000 (multiplicity 1)
Ga 0.500 0.500 0.335 (multiplicity 2)



(9)
Below is crystalline Er2Sc3Ga4 at its relaxed geometry, with properties calculated at the PBE-GGA level.

Values from the calculation:
DFT formation energy = -0.62 eV per atom
total magnetization = 0.000 μB/cell
polymorph energy (0 for the lowest one) = 0.00 eV per formula unit

Cell lengths 7.542, 7.550, 7.238 Å; angles 90.00, 107.91, 90.00 degrees
Space group P2_1/c (No. 14)
Symmetry-distinct sites (fractional):
Er 0.193 0.178 0.071 (multiplicity 4)
Sc 0.246 0.676 0.248 (multiplicity 4)
Sc 0.500 0.000 0.500 (multiplicity 2)
Ga 0.079 0.533 0.862 (multiplicity 4)
Ga 0.494 0.123 0.872 (multiplicity 4)



(10)
Below is crystalline Er2ScGa6 at its relaxed geometry, with properties calculated at the PBE-GGA level.

Values from the calculation:
DFT formation energy = -0.42 eV per atom
total magnetization = 0.000 μB/cell
polymorph energy (0 for the lowest one) = 1.41 eV per formula unit

Cell lengths 4.214, 6.766, 13.428 Å; angles 90.00, 90.00, 90.00 degrees
Space group Immm (No. 71)
Symmetry-distinct sites (fractional):
Er 0.000 0.000 0.123 (multiplicity 4)
Sc 0.000 0.500 0.000 (multiplicity 2)
Ga 0.000 0.193 0.314 (multiplicity 8)
Ga 0.000 0.298 0.500 (multiplicity 4)



(11)
Below is crystalline ErSc2Ga6 at its relaxed geometry, with properties calculated at the PBE-GGA level.

Values from the calculation:
DFT formation energy = -0.56 eV per atom
total magnetization = 0.000 μB/cell
polymorph energy (0 for the lowest one) = 0.00 eV per formula unit

Cell lengths 7.6089, 7.6089, 3.3187 Å; angles 90.00, 90.00, 120.00 degrees
Space group P6/mmm (No. 191)
Symmetry-distinct sites (fractional):
Er 0.0000 0.0000 0.0000 (multiplicity 1)
Sc 0.3333 0.6667 0.0000 (multiplicity 2)
Ga 0.0000 0.3362 0.5000 (multiplicity 6)



(12)
Below is crystalline Er2ScGa at its relaxed geometry, with properties calculated at the PBE-GGA level.

Values from the calculation:
DFT formation energy = -0.14 eV per atom
total magnetization = 2.460 μB/cell
polymorph energy (0 for the lowest one) = 0.54 eV per formula unit

Cell lengths 7.306, 7.306, 7.306 Å; angles 90.00, 90.00, 90.00 degrees
Space group Fm-3m (No. 225)
Symmetry-distinct sites (fractional):
Er 0.250 0.250 0.250 (multiplicity 8)
Sc 0.000 0.000 0.000 (multiplicity 4)
Ga 0.000 0.000 0.500 (multiplicity 4)



(13)
Below is crystalline Er2Sc3Ga2 at its relaxed geometry, with properties calculated at the PBE-GGA level.

Values from the calculation:
DFT formation energy = -0.35 eV per atom
total magnetization = 0.000 μB/cell

Cell lengths 11.810, 3.743, 8.307 Å; angles 90.00, 113.81, 90.00 degrees
Space group C2/m (No. 12)
Symmetry-distinct sites (fractional):
Er 0.142 0.000 0.304 (multiplicity 4)
Sc 0.000 0.500 0.500 (multiplicity 2)
Sc 0.116 0.500 0.943 (multiplicity 4)
Ga 0.170 0.000 0.720 (multiplicity 4)



(14)
Below is crystalline Er3ScGa12 at its relaxed geometry, with properties calculated at the PBE-GGA level.

Values from the calculation:
DFT formation energy = -0.51 eV per atom
total magnetization = 0.000 μB/cell

Cell lengths 4.217, 4.217, 16.917 Å; angles 90.00, 90.00, 90.00 degrees
Space group P4/mmm (No. 123)
Symmetry-distinct sites (fractional):
Er 0.000 0.000 0.000 (multiplicity 1)
Er 0.000 0.000 0.254 (multiplicity 2)
Sc 0.000 0.000 0.500 (multiplicity 1)
Ga 0.000 0.500 0.127 (multiplicity 4)
Ga 0.000 0.500 0.381 (multiplicity 4)
Ga 0.500 0.500 0.000 (multiplicity 1)
Ga 0.500 0.500 0.251 (multiplicity 2)
Ga 0.500 0.500 0.500 (multiplicity 1)



(15)
Below is crystalline Er5ScGa4 at its relaxed geometry, with properties calculated at the PBE-GGA level.

Values from the calculation:
DFT formation energy = -0.35 eV per atom
total magnetization = 0.030 μB/cell

Cell lengths 15.767, 4.104, 7.923 Å; angles 90.00, 102.88, 90.00 degrees
Space group C2/m (No. 12)
Symmetry-distinct sites (fractional):
Er 0.000 0.000 0.000 (multiplicity 2)
Er 0.169 0.500 0.620 (multiplicity 4)
Er 0.177 0.500 0.079 (multiplicity 4)
Sc 0.000 0.000 0.500 (multiplicity 2)
Ga 0.020 0.500 0.267 (multiplicity 4)
Ga 0.140 0.000 0.333 (multiplicity 4)



(16)
Below is crystalline Er2ScGa at its relaxed geometry, with properties calculated at the PBE-GGA level.

Values from the calculation:
DFT formation energy = -0.27 eV per atom
total magnetization = 0.000 μB/cell
polymorph energy (0 for the lowest one) = 0.00 eV per formula unit

Cell lengths 3.449, 3.449, 8.498 Å; angles 90.00, 90.00, 90.00 degrees
Space group P4/mmm (No. 123)
Symmetry-distinct sites (fractional):
Er 0.000 0.000 0.220 (multiplicity 2)
Sc 0.500 0.500 0.500 (multiplicity 1)
Ga 0.500 0.500 0.000 (multiplicity 1)



(17)
Below is crystalline Er2ScGa9 at its relaxed geometry, with properties calculated at the PBE-GGA level.

Values from the calculation:
DFT formation energy = -0.52 eV per atom
total magnetization = 0.000 μB/cell

Cell lengths 4.206, 4.206, 12.602 Å; angles 90.00, 90.00, 90.00 degrees
Space group P4/mmm (No. 123)
Symmetry-distinct sites (fractional):
Er 0.000 0.000 0.170 (multiplicity 2)
Sc 0.000 0.000 0.500 (multiplicity 1)
Ga 0.000 0.500 0.000 (multiplicity 2)
Ga 0.000 0.500 0.340 (multiplicity 4)
Ga 0.500 0.500 0.167 (multiplicity 2)
Ga 0.500 0.500 0.500 (multiplicity 1)



(18)
Below is crystalline ErSc5Ga3 at its relaxed geometry, with properties calculated at the PBE-GGA level.

Values from the calculation:
DFT formation energy = -0.46 eV per atom
total magnetization = 0.328 μB/cell

Cell lengths 8.4280, 8.4280, 6.2055 Å; angles 90.00, 90.00, 120.00 degrees
Space group P6_3/mcm (No. 193)
Symmetry-distinct sites (fractional):
Er 0.0000 0.0000 0.0000 (multiplicity 2)
Sc 0.0000 0.3384 0.2500 (multiplicity 6)
Sc 0.3333 0.6667 0.0000 (multiplicity 4)
Ga 0.0000 0.3336 0.7500 (multiplicity 6)



(19)
Below is crystalline Er4ScGa15 at its relaxed geometry, with properties calculated at the PBE-GGA level.

Values from the calculation:
DFT formation energy = -0.52 eV per atom
total magnetization = 0.000 μB/cell

Cell lengths 4.231, 4.231, 21.059 Å; angles 90.00, 90.00, 90.00 degrees
Space group P4/mmm (No. 123)
Symmetry-distinct sites (fractional):
Er 0.000 0.000 0.101 (multiplicity 2)
Er 0.000 0.000 0.303 (multiplicity 2)
Sc 0.000 0.000 0.500 (multiplicity 1)
Ga 0.000 0.500 0.000 (multiplicity 2)
Ga 0.000 0.500 0.202 (multiplicity 4)
Ga 0.000 0.500 0.404 (multiplicity 4)
Ga 0.500 0.500 0.101 (multiplicity 2)
Ga 0.500 0.500 0.301 (multiplicity 2)
Ga 0.500 0.500 0.500 (multiplicity 1)



(20)
Below is crystalline ErScGa at its relaxed geometry, with properties calculated at the PBE-GGA level.

Values from the calculation:
DFT formation energy = -0.44 eV per atom
total magnetization = 1.789 μB/cell
polymorph energy (0 for the lowest one) = 0.05 eV per formula unit

Cell lengths 4.292, 4.292, 7.704 Å; angles 90.00, 90.00, 90.00 degrees
Space group P4/nmm (No. 129, origin choice 2)
Symmetry-distinct sites (fractional):
Er 0.250 0.250 0.144 (multiplicity 2)
Sc 0.250 0.750 0.500 (multiplicity 2)
Ga 0.250 0.250 0.756 (multiplicity 2)



(21)
Below is crystalline ErSc3Ga2 at its relaxed geometry, with properties calculated at the PBE-GGA level.

Values from the calculation:
DFT formation energy = -0.37 eV per atom
total magnetization = 0.000 μB/cell
polymorph energy (0 for the lowest one) = 0.53 eV per formula unit

Cell lengths 16.446, 4.450, 8.059 Å; angles 90.00, 112.51, 90.00 degrees
Space group C2/m (No. 12)
Symmetry-distinct sites (fractional):
Er 0.119 0.000 0.163 (multiplicity 4)
Sc 0.062 0.000 0.704 (multiplicity 4)
Sc 0.144 0.500 0.491 (multiplicity 4)
Sc 0.187 0.500 0.924 (multiplicity 4)
Ga 0.008 0.500 0.843 (multiplicity 4)
Ga 0.232 0.000 0.695 (multiplicity 4)



(22)
Below is crystalline Er2Sc6Ga at its relaxed geometry, with properties calculated at the PBE-GGA level.

Values from the calculation:
DFT formation energy = 0.02 eV per atom
total magnetization = 0.000 μB/cell

Cell lengths 16.103, 8.769, 3.250 Å; angles 90.00, 90.94, 90.00 degrees
Space group C2/m (No. 12)
Symmetry-distinct sites (fractional):
Er 0.174 0.000 0.490 (multiplicity 4)
Sc 0.000 0.217 0.500 (multiplicity 4)
Sc 0.162 0.330 0.999 (multiplicity 8)
Ga 0.000 0.500 0.000 (multiplicity 2)